Below is a relaxed structure of Rb2CaCrCl6, with properties calculated at the PBE-GGA level.

Output
- D(E_F): 9.428 states/eV/f.u.
- ΔE_f (raw): -1777.2 meV/atom

Unit cell a=10.447 b=10.447 c=10.447 alpha=90.00 beta=90.00 gamma=90.00
Space group Fm-3m (No. 225)
Unique sites:
Rb 0.250 0.250 0.250 (multiplicity 8)
Ca 0.000 0.000 0.000 (multiplicity 4)
Cr 0.000 0.000 0.500 (multiplicity 4)
Cl 0.000 0.000 0.260 (multiplicity 24)